#1
Here is crystalline NbSnSb2Te at its relaxed geometry from the Alexandria database. Energies are from GGA-PBE.

a = 5.4869 Å, b = 5.4869 Å, c = 5.5437 Å
α = 90.00°, β = 90.00°, γ = 90.00°
With the nearest neighbours (Å) after each atom.
Space group P4/mmm (No. 123)
Unique sites:
Nb (0.0000, 0.0000, 0.0000) [1 per cell]  4 Te 3.88, 8 Sb 3.90
Sn (0.5000, 0.5000, 0.5000) [1 per cell]  4 Sb 2.74, 2 Te 2.77
Sb (0.0000, 0.5000, 0.5000) [2 per cell]  2 Sn 2.74
Te (0.5000, 0.5000, 0.0000) [1 per cell]  2 Sn 2.77

Volume (Å³ per cell): 166.9

---

#2
Here is crystalline NbSnSb2Te at its relaxed geometry from the Alexandria database. Energies are from GGA-PBE.

a = 5.4457 Å, b = 5.4457 Å, c = 5.3359 Å
α = 90.00°, β = 90.00°, γ = 90.00°
With the nearest neighbours (Å) after each atom.
Space group P4/mmm (No. 123)
Unique sites:
Nb (0.0000, 0.0000, 0.0000) [1 per cell]  2 Te 2.67, 4 Sb 2.72
Sn (0.5000, 0.5000, 0.5000) [1 per cell]  8 Sb 3.81, 4 Te 3.85
Sb (0.0000, 0.5000, 0.0000) [2 per cell]  2 Nb 2.72
Te (0.0000, 0.0000, 0.5000) [1 per cell]  2 Nb 2.67

Volume (Å³ per cell): 158.2

---

Short version: #1 is the least stable of them.

---

#1
Here is crystalline Nb2VSnSb at its relaxed geometry from the Alexandria database. Energies are from GGA-PBE.

a = 5.0534 Å, b = 5.0534 Å, c = 5.4682 Å
α = 90.00°, β = 90.00°, γ = 90.00°
With the nearest neighbours (Å) after each atom.
Space group P4/mmm (No. 123)
Unique sites:
Nb (0.0000, 0.5000, 0.0000) [2 per cell]  2 Sb 2.53
V (0.0000, 0.0000, 0.5000) [1 per cell]  4 Sn 3.57, 8 Nb 3.72
Sn (0.5000, 0.5000, 0.5000) [1 per cell]  2 Sb 2.73
Sb (0.5000, 0.5000, 0.0000) [1 per cell]  4 Nb 2.53, 2 Sn 2.73

Volume (Å³ per cell): 139.6

---

#2
Here is crystalline Nb2VSnSb at its relaxed geometry from the Alexandria database. Energies are from GGA-PBE.

a = 5.0855 Å, b = 5.0855 Å, c = 4.7762 Å
α = 90.00°, β = 90.00°, γ = 90.00°
With the nearest neighbours (Å) after each atom.
Space group P4/mmm (No. 123)
Unique sites:
Nb (0.0000, 0.5000, 0.0000) [2 per cell]  2 Sn 2.54
V (0.0000, 0.0000, 0.5000) [1 per cell]  2 Sn 2.39
Sn (0.0000, 0.0000, 0.0000) [1 per cell]  2 V 2.39, 4 Nb 2.54
Sb (0.5000, 0.5000, 0.5000) [1 per cell]  8 Nb 3.49, 4 V 3.60

Volume (Å³ per cell): 123.5

---

Short version: #1 is the least stable of them.